1.
A plane-wave DFT calculation with PBE was carried out for a relaxed SrTa crystal.

Cell lengths 9.789, 9.789, 9.789 Å; angles 90.00, 90.00, 90.00 degrees
Space group I-43m (No. 217)
Inequivalent atoms, fractional coordinates:
Sr 0.211 0.211 0.211 x8
Ta 0.093 0.093 0.907 x8

Calculated values
**Energy of formation**: 1.309 eV/atom
**Density of states at the Fermi level**: 17.84 states/eV per cell
**Relative energy among the computed polymorphs**: 811 meV/atom
**Total DFT energy (no corrections)**: -5.46 eV/atom
**Volume**: 58.6 Å³/atom
**Magnetization**: 0.0000 μB per atom


2.
A plane-wave DFT calculation with PBE was carried out for a relaxed SrTa2 crystal.

Cell lengths 12.025, 3.153, 8.288 Å; angles 90.00, 92.07, 90.00 degrees
Space group Cm (No. 8)
Inequivalent atoms, fractional coordinates:
Sr 0.000 0.000 0.000 x2
Sr 0.250 0.000 0.702 x2
Ta 0.134 0.500 0.351 x2
Ta 0.247 0.500 0.088 x2
Ta 0.351 0.000 0.321 x2
Ta 0.489 0.500 0.522 x2

Calculated values
**Energy of formation**: 0.729 eV/atom
**Density of states at the Fermi level**: 12.35 states/eV per cell
**Relative energy among the computed polymorphs**: 185 meV/atom
**Total DFT energy (no corrections)**: -7.73 eV/atom
**Volume**: 26.2 Å³/atom
**Magnetization**: 0.0000 μB per atom


3.
A plane-wave DFT calculation with PBE was carried out for a relaxed SrTa crystal.

Cell lengths 9.448, 9.448, 9.448 Å; angles 90.00, 90.00, 90.00 degrees
Space group Pm-3n (No. 223)
Inequivalent atoms, fractional coordinates:
Sr 0.000 0.250 0.500 x6
Ta 0.000 0.500 0.250 x6

Calculated values
**Energy of formation**: 3.042 eV/atom
**Density of states at the Fermi level**: 17.31 states/eV per cell
**Relative energy among the computed polymorphs**: 2543 meV/atom
**Total DFT energy (no corrections)**: -3.73 eV/atom
**Volume**: 70.3 Å³/atom
**Magnetization**: 2.5048 μB per atom


4.
A plane-wave DFT calculation with PBE was carried out for a relaxed Sr3Ta5 crystal.

Cell lengths 10.6817, 10.6817, 5.0197 Å; angles 90.00, 90.00, 120.00 degrees
Space group P6_3/mcm (No. 193)
Inequivalent atoms, fractional coordinates:
Sr 0.0000 0.3714 0.2500 x6
Ta 0.0000 0.1436 0.7500 x6
Ta 0.3333 0.6667 0.0000 x4

Calculated values
**Energy of formation**: 1.058 eV/atom
**Density of states at the Fermi level**: 21.75 states/eV per cell
**Relative energy among the computed polymorphs**: 0 meV/atom
**Total DFT energy (no corrections)**: -6.98 eV/atom
**Volume**: 31.0 Å³/atom
**Magnetization**: 0.0000 μB per atom


5.
A plane-wave DFT calculation with PBE was carried out for a relaxed SrTa crystal.

Cell lengths 6.509, 6.509, 6.509 Å; angles 90.00, 90.00, 90.00 degrees
Space group Fm-3m (No. 225)
Inequivalent atoms, fractional coordinates:
Sr 0.000 0.000 0.000 x4
Ta 0.000 0.000 0.500 x4

Calculated values
**Energy of formation**: 2.304 eV/atom
**Density of states at the Fermi level**: 5.34 states/eV per cell
**Relative energy among the computed polymorphs**: 1805 meV/atom
**Total DFT energy (no corrections)**: -4.46 eV/atom
**Volume**: 34.5 Å³/atom
**Magnetization**: 1.4075 μB per atom


6.
A plane-wave DFT calculation with PBE was carried out for a relaxed Sr4Ta crystal.

Cell lengths 6.131, 6.131, 6.131 Å; angles 90.00, 90.00, 90.00 degrees
Space group Pm-3m (No. 221)
Inequivalent atoms, fractional coordinates:
Sr 0.000 0.000 0.000 x1
Sr 0.000 0.500 0.500 x3
Ta 0.500 0.500 0.500 x1

Calculated values
**Energy of formation**: 0.807 eV/atom
**Density of states at the Fermi level**: 5.44 states/eV per cell
**Total DFT energy (no corrections)**: -2.91 eV/atom
**Volume**: 46.1 Å³/atom
**Magnetization**: 0.0000 μB per atom


- Which formula does entry 2 have?
  SrTa2